No. 1
The following is a PBE calculation of an optimized crystal structure of Y3Zn3Cu2, from Alexandria.

a b c (Å): 7.794 15.416 5.407
angles (deg): 90.00 90.00 90.00
Space group Pnma (No. 62)
Inequivalent atoms, fractional coordinates:
Y 0.042 0.106 0.126 (multiplicity 8)
Y 0.177 0.250 0.635 (multiplicity 4)
Zn 0.167 0.750 0.631 (multiplicity 4)
Zn 0.182 0.035 0.609 (multiplicity 8)
Cu 0.107 0.610 0.379 (multiplicity 8)



No. 2
The following is a PBE calculation of an optimized crystal structure of Y4ZnCu, from Alexandria.

a b c (Å): 4.906 4.906 6.977
angles (deg): 90.00 90.00 90.00
Space group P4/mmm (No. 123)
Inequivalent atoms, fractional coordinates:
Y 0.000 0.500 0.245 (multiplicity 4)
Zn 0.000 0.000 0.500 (multiplicity 1)
Cu 0.500 0.500 0.000 (multiplicity 1)

## Properties
Offset from the most stable computed form   1.250 eV per formula unit



No. 3
The following is a PBE calculation of an optimized crystal structure of Y3ZnCu, from Alexandria.

a b c (Å): 5.019 19.265 5.018
angles (deg): 90.00 90.00 90.00
Space group Cmcm (No. 63)
Inequivalent atoms, fractional coordinates:
Y 0.000 0.068 0.250 (multiplicity 4)
Y 0.000 0.249 0.250 (multiplicity 4)
Y 0.000 0.430 0.250 (multiplicity 4)
Zn 0.000 0.158 0.750 (multiplicity 4)
Cu 0.000 0.338 0.750 (multiplicity 4)

## Properties
Offset from the most stable computed form   0.000 eV per formula unit



No. 4
The following is a PBE calculation of an optimized crystal structure of Y5Zn4Cu, from Alexandria.

a b c (Å): 3.561 3.561 17.822
angles (deg): 90.00 90.00 90.00
Space group P4/mmm (No. 123)
Inequivalent atoms, fractional coordinates:
Y 0.000 0.000 0.000 (multiplicity 1)
Y 0.000 0.000 0.202 (multiplicity 2)
Y 0.000 0.000 0.404 (multiplicity 2)
Zn 0.500 0.500 0.101 (multiplicity 2)
Zn 0.500 0.500 0.301 (multiplicity 2)
Cu 0.500 0.500 0.500 (multiplicity 1)



no.,energy relative to the elements (meV per atom)
1,-310
2,30
3,-222
4,-334